Here is Na3Li3Sc2F12 at its PBEsol-relaxed geometry from Alexandria. Energies are from SCAN.

Structure (POSCAR):
```
Na3Li3Sc2F12
1.0
-0.796 -8.642 6.509
-3.347 -2.662 -9.970
10.333 3.279 -0.410
Sc F Na Li
8 48 12 12
direct
0.000 0.500 0.500 Sc
0.500 0.000 0.500 Sc
0.500 0.000 0.000 Sc
0.000 0.500 0.000 Sc
0.500 0.500 0.000 Sc
0.000 0.000 0.000 Sc
0.000 0.000 0.500 Sc
0.500 0.500 0.500 Sc
0.478 0.299 0.881 F
0.619 0.097 0.918 F
0.881 0.082 0.903 F
0.918 0.597 0.619 F
0.820 0.418 0.299 F
0.119 0.918 0.097 F
0.522 0.820 0.903 F
0.881 0.799 0.478 F
0.097 0.418 0.119 F
0.522 0.701 0.119 F
0.320 0.299 0.418 F
0.680 0.978 0.597 F
0.119 0.201 0.522 F
0.299 0.918 0.820 F
0.619 0.522 0.201 F
0.701 0.619 0.022 F
0.701 0.082 0.180 F
0.082 0.403 0.381 F
0.403 0.522 0.320 F
0.978 0.881 0.299 F
0.582 0.381 0.403 F
0.799 0.978 0.381 F
0.180 0.582 0.701 F
0.381 0.903 0.082 F
0.903 0.582 0.881 F
0.978 0.097 0.180 F
0.478 0.180 0.097 F
0.022 0.119 0.701 F
0.097 0.680 0.478 F
0.903 0.320 0.522 F
0.299 0.381 0.978 F
0.680 0.701 0.582 F
0.799 0.820 0.918 F
0.381 0.478 0.799 F
0.418 0.619 0.597 F
0.320 0.022 0.403 F
0.201 0.022 0.619 F
0.022 0.903 0.820 F
0.597 0.478 0.680 F
0.597 0.119 0.418 F
0.820 0.403 0.022 F
0.918 0.320 0.799 F
0.418 0.799 0.320 F
0.082 0.680 0.201 F
0.180 0.597 0.978 F
0.201 0.180 0.082 F
0.403 0.881 0.582 F
0.582 0.201 0.680 F
0.625 0.875 0.750 Na
0.125 0.375 0.750 Na
0.375 0.125 0.250 Na
0.875 0.250 0.125 Na
0.750 0.375 0.625 Na
0.250 0.625 0.375 Na
0.375 0.250 0.625 Na
0.750 0.875 0.125 Na
0.875 0.625 0.250 Na
0.250 0.125 0.875 Na
0.125 0.750 0.875 Na
0.625 0.750 0.375 Na
0.125 0.875 0.250 Li
0.375 0.750 0.125 Li
0.125 0.250 0.375 Li
0.250 0.875 0.625 Li
0.875 0.750 0.625 Li
0.750 0.125 0.375 Li
0.875 0.125 0.750 Li
0.625 0.375 0.250 Li
0.625 0.250 0.875 Li
0.375 0.625 0.750 Li
0.750 0.625 0.875 Li
0.250 0.375 0.125 Li
```

Results
Symmetry: Ia-3d
Density: 2755 kg/m³
Formation energy without anion corrections: -3.539 eV per atom
Electronic total energy: -646.2 eV for the cell shown

---

Here is Na3Li3Ti2F12 at its PBEsol-relaxed geometry from Alexandria. Energies are from SCAN.

Structure (POSCAR):
```
Na3Li3Ti2F12
1.0
10.756 0.000 0.000
-3.585 10.141 0.000
-3.585 -5.070 8.782
F Li Na Ti
48 12 12 8
direct
0.097 0.677 0.479 F
0.198 0.177 0.080 F
0.403 0.521 0.323 F
0.118 0.198 0.521 F
0.177 0.597 0.979 F
0.597 0.118 0.420 F
0.823 0.403 0.021 F
0.323 0.021 0.403 F
0.021 0.903 0.823 F
0.698 0.080 0.177 F
0.403 0.882 0.580 F
0.580 0.382 0.403 F
0.302 0.920 0.823 F
0.580 0.198 0.677 F
0.177 0.580 0.698 F
0.618 0.097 0.920 F
0.080 0.677 0.198 F
0.479 0.177 0.097 F
0.698 0.618 0.021 F
0.118 0.920 0.097 F
0.420 0.618 0.597 F
0.920 0.597 0.618 F
0.802 0.979 0.382 F
0.802 0.823 0.920 F
0.920 0.323 0.802 F
0.597 0.479 0.677 F
0.903 0.580 0.882 F
0.080 0.403 0.382 F
0.882 0.080 0.903 F
0.420 0.802 0.323 F
0.979 0.097 0.177 F
0.521 0.823 0.903 F
0.479 0.302 0.882 F
0.097 0.420 0.118 F
0.903 0.323 0.521 F
0.823 0.420 0.302 F
0.677 0.698 0.580 F
0.323 0.302 0.420 F
0.521 0.698 0.118 F
0.882 0.802 0.479 F
0.302 0.382 0.979 F
0.382 0.479 0.802 F
0.021 0.118 0.698 F
0.677 0.979 0.597 F
0.979 0.882 0.302 F
0.198 0.021 0.618 F
0.382 0.903 0.080 F
0.618 0.521 0.198 F
0.750 0.625 0.875 Li
0.375 0.625 0.750 Li
0.375 0.750 0.125 Li
0.750 0.125 0.375 Li
0.125 0.875 0.250 Li
0.125 0.250 0.375 Li
0.250 0.375 0.125 Li
0.250 0.875 0.625 Li
0.625 0.250 0.875 Li
0.625 0.375 0.250 Li
0.875 0.750 0.625 Li
0.875 0.125 0.750 Li
0.750 0.875 0.125 Na
0.625 0.875 0.750 Na
0.875 0.250 0.125 Na
0.625 0.750 0.375 Na
0.875 0.625 0.250 Na
0.250 0.625 0.375 Na
0.125 0.375 0.750 Na
0.375 0.125 0.250 Na
0.125 0.750 0.875 Na
0.250 0.125 0.875 Na
0.750 0.375 0.625 Na
0.375 0.250 0.625 Na
0.500 0.500 0.000 Ti
0.000 0.500 0.500 Ti
0.000 0.000 0.500 Ti
0.000 0.000 0.000 Ti
0.500 0.000 0.500 Ti
0.500 0.500 0.500 Ti
0.000 0.500 0.000 Ti
0.500 0.000 0.000 Ti
```

Results
Symmetry: Ia-3d
Density: 2867 kg/m³
Formation energy without anion corrections: -3.273 eV per atom
Electronic total energy: -639.3 eV for the cell shown